Entry 1:
VASP calculation (GGA-PBE) on a relaxed structure of ScCoPt4.

Crystal system   cubic
Energy of formation   -8.41 kcal/mol of atoms
Density of states at the Fermi level   7.94 states/eV/f.u.

a b c (Å): 7.415 7.415 7.415
angles (deg): 90.00 90.00 90.00
Space group F-43m (No. 216)
Unique sites:
Sc: 0.000 0.000 0.000
Co: 0.250 0.250 0.750
Pt: 0.125 0.125 0.375

Entry 2:
VASP calculation (GGA-PBE) on a relaxed structure of CdPtS2N.

Raw formation energy   492 meV per atom
Crystal system   tetragonal
Energy relative to the lowest polymorph listed for this composition   0 meV/atom
Density of states at the Fermi level   2.70 states/eV/f.u.

a b c (Å): 5.021 5.021 3.684
angles (deg): 90.00 90.00 90.00
Space group P4/mmm (No. 123)
Unique sites:
Cd: 0.000 0.000 0.000
Pt: 0.500 0.500 0.500
S: 0.000 0.500 0.500
N: 0.500 0.500 0.000

Entry 3:
VASP calculation (GGA-PBE) on a relaxed structure of CaSiNi2.

Raw formation energy   98 meV per atom
Crystal system   cubic
Density of states at the Fermi level   2.96 states/eV/f.u.

a b c (Å): 6.240 6.240 6.240
angles (deg): 90.00 90.00 90.00
Space group F-43m (No. 216)
Unique sites:
Ca: 0.000 0.000 0.000
Si: 0.250 0.250 0.250
Ni: 0.000 0.000 0.500
Ni: 0.250 0.250 0.750

Entry 4:
VASP calculation (GGA-PBE) on a relaxed structure of YMgCu2.

Crystal system   monoclinic
Energy of formation   -3.27 kcal/mol of atoms
Density of states at the Fermi level   2.35 states/eV/f.u.

a b c (Å): 3.359 3.347 6.609
angles (deg): 90.00 90.06 90.00
Space group P2/m (No. 10)
Unique sites:
Y: 0.000 0.000 0.000
Mg: 0.000 0.000 0.500
Cu: 0.499 0.500 0.725

Entry 5:
VASP calculation (GGA-PBE) on a relaxed structure of SrMgRe2Ir.

Crystal system   tetragonal
Energy of formation   42.26 kcal/mol of atoms
Density of states at the Fermi level   5.90 states/eV/f.u.

a b c (Å): 4.772 4.772 4.708
angles (deg): 90.00 90.00 90.00
Space group P4/mmm (No. 123)
Unique sites:
Sr: 0.000 0.000 0.000
Mg: 0.500 0.500 0.500
Re: 0.000 0.500 0.500
Ir: 0.500 0.500 0.000

Entry 6:
VASP calculation (GGA-PBE) on a relaxed structure of TbPaHgRu.

Crystal system   cubic
Energy of formation   -2.44 kcal/mol of atoms
Density of states at the Fermi level   5.04 states/eV/f.u.

a b c (Å): 7.148 7.148 7.148
angles (deg): 90.00 90.00 90.00
Space group F-43m (No. 216)
Unique sites:
Tb: 0.000 0.000 0.000
Pa: 0.000 0.000 0.500
Hg: 0.250 0.250 0.750
Ru: 0.250 0.250 0.250

Entry 7:
VASP calculation (GGA-PBE) on a relaxed structure of Sm3ErGa4.

Crystal system   orthorhombic
Energy of formation   -10.31 kcal/mol of atoms
Energy relative to the lowest polymorph listed for this composition   130 meV/atom
Density of states at the Fermi level   5.55 states/eV/f.u.

a b c (Å): 3.696 6.774 16.804
angles (deg): 90.00 90.00 90.00
Space group Immm (No. 71)
Unique sites:
Sm: 0.000 0.000 0.000
Sm: 0.000 0.500 0.202
Er: 0.000 0.000 0.500
Ga: 0.000 0.306 0.372

Entry 8:
VASP calculation (GGA-PBE) on a relaxed structure of Pm2Pr2Sm4Tm.

Crystal system   monoclinic
Energy of formation   0.25 kcal/mol of atoms
Density of states at the Fermi level   11.72 states/eV/f.u.

a b c (Å): 19.015 3.669 9.759
angles (deg): 90.00 115.56 90.00
Space group C2/m (No. 12)
Unique sites:
Pm: 0.147 0.000 0.165
Pr: 0.165 0.500 0.500
Sm: 0.018 0.500 0.830
Sm: 0.185 0.000 0.834
Tm: 0.000 0.000 0.500

Entry 9:
VASP calculation (GGA-PBE) on a relaxed structure of NiAsP2.

Crystal system   tetragonal
Energy of formation   10.56 kcal/mol of atoms
Density of states at the Fermi level   2.03 states/eV/f.u.

a b c (Å): 4.538 4.538 2.811
angles (deg): 90.00 90.00 90.00
Space group P4/mmm (No. 123)
Unique sites:
Ni: 0.000 0.000 0.000
As: 0.500 0.500 0.000
P: 0.000 0.500 0.500

Entry 10:
VASP calculation (GGA-PBE) on a relaxed structure of CsBe2Ni2.

Crystal system   tetragonal
Energy of formation   14.79 kcal/mol of atoms
Energy relative to the lowest polymorph listed for this composition   361 meV/atom
Density of states at the Fermi level   3.21 states/eV/f.u.

a b c (Å): 8.008 8.008 3.033
angles (deg): 90.00 90.00 90.00
Space group P4/mbm (No. 127)
Unique sites:
Cs: 0.000 0.000 0.000
Be: 0.091 0.409 0.000
Ni: 0.111 0.611 0.500

Entry 11:
VASP calculation (GGA-PBE) on a relaxed structure of YHfGe3.

Crystal system   cubic
Energy of formation   21.07 kcal/mol of atoms
Density of states at the Fermi level   3.90 states/eV/f.u.

a b c (Å): 5.184 5.184 5.184
angles (deg): 90.00 90.00 90.00
Space group Pm-3m (No. 221)
Unique sites:
Y: 0.000 0.000 0.000
Hf: 0.500 0.500 0.500
Ge: 0.000 0.000 0.500

Entry 12:
VASP calculation (GGA-PBE) on a relaxed structure of Y8Mg2Tl.

Crystal system   monoclinic
Energy of formation   -2.44 kcal/mol of atoms
Density of states at the Fermi level   11.71 states/eV/f.u.

a b c (Å): 16.423 5.378 8.618
angles (deg): 90.00 120.82 90.00
Space group C2/m (No. 12)
Unique sites:
Y: 0.066 0.000 0.219
Y: 0.094 0.500 0.955
Y: 0.138 0.000 0.683
Y: 0.182 0.500 0.447
Mg: 0.227 0.000 0.115
Tl: 0.000 0.500 0.500